No. 1
Tc2Mo2Os5 (GGA-PBE, relaxed); space group = No. 12; E_form = 0.086 eV/atom; crystal system = monoclinic; density = 16.751 Mg/m³; total energy = -10.8628 eV/atom; magnetic moment = 0.00 μB/f.u.; DOS(E_F) = 9.5 states/eV/cell
1.0
3.638 0.000 1.351
1.363 4.161 1.903
-0.963 -0.713 8.171
Os Mo Tc
5 2 2
direct
0.664 0.891 0.782 Os
0.336 0.109 0.218 Os
0.000 0.000 0.000 Os
0.003 0.666 0.329 Os
0.997 0.334 0.671 Os
0.332 0.776 0.559 Mo
0.668 0.224 0.441 Mo
0.664 0.561 0.110 Tc
0.336 0.439 0.890 Tc

---

No. 2
Pm6TlIr3 (GGA-PBE, relaxed); space group = No. 11; E_form = -0.544 eV/atom; crystal system = monoclinic; density = 9.342 Mg/m³; total energy = -6.2889 eV/atom; magnetic moment = 0.00 μB/f.u.; DOS(E_F) = 13.1 states/eV/cell
1.0
-2.285 -0.992 -3.385
8.107 -8.665 -2.933
-8.305 -4.998 7.070
Ir Pm Tl
6 12 2
direct
0.750 0.835 0.456 Ir
0.250 0.925 0.841 Ir
0.750 0.504 0.681 Ir
0.250 0.496 0.319 Ir
0.750 0.075 0.159 Ir
0.250 0.165 0.544 Ir
0.250 0.952 0.609 Pm
0.250 0.392 0.528 Pm
0.250 0.736 0.296 Pm
0.250 0.912 0.071 Pm
0.250 0.233 0.215 Pm
0.750 0.088 0.929 Pm
0.750 0.465 0.149 Pm
0.750 0.767 0.785 Pm
0.250 0.535 0.851 Pm
0.750 0.264 0.704 Pm
0.750 0.048 0.391 Pm
0.750 0.608 0.472 Pm
0.750 0.694 0.053 Tl
0.250 0.306 0.947 Tl